This record from Alexandria via LeMat-Bulk describes crystalline Sr2ScBr at its relaxed geometry. The functional is PBE-GGA.

Properties
- excess energy over the best structure of this formula in the dataset (eV per atom) = 0.029
- energy relative to the elements, uncorrected (eV per atom) = -0.498
- spin magnetization (μB/f.u.) = 0.0

Cell: 3.7964 3.7964 10.2765 Å, 90.00 90.00 107.69°
Sites, in units of the cell vectors:
1 Sr 0.0000 0.0000 0.2338
2 Sr 0.0000 0.0000 0.7662
3 Sc 0.5000 0.5000 0.5000
4 Br 0.5000 0.5000 0.0000